Material: YTa3Be
Method: DFT, PBE
State: optimized geometry

Output
energy = -6.44 eV per atom
formation energy = 2712.3 meV/atom
Fermi-level density of states = 4.82 states/eV/cell

```
5
Lattice="4.9050 0.0000 0.0000 0.0000 4.9050 0.0000 0.0000 0.0000 4.9050" Properties=species:S:1:pos:R:3 pbc="T T T"
Ta 0.0000 2.4525 0.0000
Be 2.4525 2.4525 2.4525
Ta 0.0000 0.0000 2.4525
Y 0.0000 0.0000 0.0000
Ta 2.4525 0.0000 0.0000
```


Material: Y2TaBe
Method: DFT, PBE
State: optimized geometry

Output
energy = -6.64 eV per atom
formation energy = 488.1 meV/atom
Fermi-level density of states = 4.14 states/eV/cell

```
4
Lattice="5.3623 0.0034 0.0000 1.6000 5.1180 0.0000 -3.4812 -2.5607 3.1747" Properties=species:S:1:pos:R:3 pbc="T T T"
Ta 2.6812 0.0017 1.5873
Be 0.8000 2.5590 1.5873
Y 0.0000 0.0000 0.0000
Y 3.4812 2.5607 0.0000
```


Material: YTa2Be2
Method: DFT, PBE
State: optimized geometry

Output
energy = -7.28 eV per atom
formation energy = 247.5 meV/atom
Fermi-level density of states = 8.79 states/eV/cell

```
10
Lattice="-1.8694 6.4497 3.2334 -6.7814 -0.4305 -3.0619 -0.9893 -1.4903 2.4007" Properties=species:S:1:pos:R:3 pbc="T T T"
Be -6.0400 5.1420 0.7029
Be -2.6108 0.8772 -0.5314
Be -2.3082 4.1805 1.6439
Y -4.3254 3.0096 0.0857
Ta -2.0928 1.5505 1.9668
Ta -4.5864 4.6764 2.8796
Y 0.0000 0.0000 0.0000
Ta -7.5473 2.9784 0.6054
Ta -5.0537 -0.1475 -0.3074
Be -6.3425 1.8386 -1.4724
```


Material: YTa2Be
Method: DFT, PBE
State: optimized geometry

Output
energy = -8.04 eV per atom
formation energy = 430.2 meV/atom
Fermi-level density of states = 4.29 states/eV/cell

```
4
Lattice="-2.7283 -1.5237 -3.5428 -1.4027 -4.5090 -0.1301 -4.5256 -1.0899 0.8044" Properties=species:S:1:pos:R:3 pbc="T T T"
Be -4.3283 -3.5613 -1.4342
Ta 0.0000 0.0000 0.0000
Y -6.4924 -5.3420 -2.1513
Ta -2.1641 -1.7807 -0.7171
```


Material: YTa2Be
Method: DFT, PBE
State: optimized geometry

Output
energy = -8.04 eV per atom
formation energy = 437.7 meV/atom
Fermi-level density of states = 3.56 states/eV/cell

```
4
Lattice="5.4075 0.0002 0.0000 2.3573 4.8667 0.0000 -3.8824 -2.4334 2.8717" Properties=species:S:1:pos:R:3 pbc="T T T"
Ta 3.8824 2.4334 0.0000
Be 2.7038 0.0001 1.4359
Ta 0.0000 0.0000 0.0000
Y 1.1786 2.4333 1.4359
```


Material: YTa2Be
Method: DFT, PBE
State: optimized geometry

Output
energy = -7.81 eV per atom
formation energy = 661.5 meV/atom
Fermi-level density of states = 4.85 states/eV/cell

```
4
Lattice="-0.0029 -1.6736 5.2249 4.8205 0.1521 -2.6154 0.3861 2.7136 0.8694" Properties=species:S:1:pos:R:3 pbc="T T T"
Ta 0.0000 0.0000 0.0000
Be 2.6033 1.4328 -0.8730
Y 0.1916 0.5200 3.0472
Ta 2.4088 -0.7608 1.3048
```


Material: YTa2Be
Method: DFT, PBE
State: optimized geometry

Output
energy = -8.17 eV per atom
formation energy = 299.6 meV/atom
Fermi-level density of states = 4.45 states/eV/cell

```
4
Lattice="-1.7535 -1.9635 -1.2055 1.6726 -0.0465 -2.3630 4.7847 -6.4302 3.5133" Properties=species:S:1:pos:R:3 pbc="T T T"
Ta 1.0343 -2.4493 -0.9951
Y 2.5775 -3.4639 1.8926
Ta 4.6048 -6.1883 3.3811
Be 3.6643 -5.9838 0.9360
```


Material: Y2TaBe
Method: DFT, PBE
State: optimized geometry

Output
energy = -6.40 eV per atom
formation energy = 729.2 meV/atom
Fermi-level density of states = 8.31 states/eV/cell

```
8
Lattice="7.8815 0.0000 0.0000 0.0000 7.8815 0.0000 3.9408 3.9408 2.8529" Properties=species:S:1:pos:R:3 pbc="T T T"
Y 5.5605 1.9704 0.7132
Be 3.9408 7.8815 1.4265
Y 2.3210 5.9112 0.7132
Ta 0.0000 0.0000 0.0000
Y 5.9112 6.2618 2.1397
Y 9.8519 9.5013 2.1397
Ta 7.8815 3.9408 1.4265
Be 3.9408 3.9408 0.0000
```